Cs2Hg5Sb3 | PBE-GGA | optimized geometry

uncorrected energy = -1.760 eV per atom

```
Cs2Hg5Sb3
1.0
7.299 -0.237 2.465
2.431 9.467 3.216
-0.236 0.662 10.267
Sb Hg Cs
6 10 4
direct
0.250 0.001 0.999 Sb
0.399 0.497 0.732 Sb
0.750 0.999 0.001 Sb
0.601 0.503 0.268 Sb
0.101 0.268 0.503 Sb
0.899 0.732 0.497 Sb
0.949 0.214 0.288 Hg
0.578 0.764 0.044 Hg
0.422 0.236 0.956 Hg
0.551 0.712 0.785 Hg
0.250 0.514 0.486 Hg
0.078 0.044 0.764 Hg
0.051 0.786 0.712 Hg
0.922 0.956 0.236 Hg
0.750 0.486 0.514 Hg
0.449 0.288 0.215 Hg
0.607 0.112 0.622 Cs
0.393 0.888 0.378 Cs
0.893 0.378 0.888 Cs
0.107 0.622 0.112 Cs
```